Material: Ba2AgSn4Ir3
Method: DFT, PBE-GGA
State: optimized geometry

Output
Uncorrected energy = -5.32 eV/atom
DFT formation energy = -386 meV/atom

Unit cell a=4.780 b=4.780 c=10.775 alpha=90.00 beta=90.00 gamma=90.00
Space group P-4m2 (No. 115)
Inequivalent atoms, fractional coordinates:
1 Ba 0.000 0.500 0.248 x2
2 Ag 0.500 0.500 0.000 x1
3 Sn 0.000 0.000 0.500 x1
4 Sn 0.000 0.500 0.871 x2
5 Sn 0.500 0.500 0.500 x1
6 Ir 0.000 0.000 0.000 x1
7 Ir 0.000 0.500 0.622 x2